Entry from Alexandria: an optimized crystal structure of SrBi2C2 (PBE).

Cell: 6.362 6.362 5.882 Å, 90.00 90.00 90.00°
Space group P4/mbm (No. 127)
One atom of each set of equivalent atoms:
1 Sr 0.000 0.000 0.000
2 Bi 0.183 0.317 0.500
3 C 0.072 0.428 0.000

Calculated values
Distance to the lowest polymorph of the same formula = 0.000 eV/atom
Electronic total energy = -5.202 eV/atom


Entry from Alexandria: an optimized crystal structure of SrBi2C2 (PBE).

Cell: 8.167 8.167 3.435 Å, 90.00 90.00 90.00°
Space group P4/mbm (No. 127)
One atom of each set of equivalent atoms:
1 Sr 0.000 0.000 0.000
2 Bi 0.129 0.371 0.000
3 C 0.124 0.624 0.500

Calculated values
Distance to the lowest polymorph of the same formula = 1.304 eV/atom
Electronic total energy = -3.899 eV/atom


Entry from Alexandria: an optimized crystal structure of SrBi2C2 (PBE).

Cell: 6.237 6.237 6.450 Å, 90.00 90.00 90.00°
Space group I4/mmm (No. 139)
One atom of each set of equivalent atoms:
1 Sr 0.000 0.000 0.000
2 Bi 0.000 0.500 0.250
3 C 0.000 0.000 0.399

Calculated values
Distance to the lowest polymorph of the same formula = 0.364 eV/atom
Electronic total energy = -4.838 eV/atom


Entry from Alexandria: an optimized crystal structure of Sr2BiC4 (PBE).

Cell: 4.608 4.608 13.593 Å, 90.00 90.00 90.00°
Space group I4/mmm (No. 139)
One atom of each set of equivalent atoms:
1 Sr 0.000 0.000 0.137
2 Bi 0.000 0.000 0.500
3 C 0.000 0.000 0.334
4 C 0.000 0.500 0.000

Calculated values
Electronic total energy = -4.341 eV/atom


Entry from Alexandria: an optimized crystal structure of Sr3BiC (PBE).

Cell: 5.374 5.374 5.374 Å, 90.00 90.00 90.00°
Space group Pm-3m (No. 221)
One atom of each set of equivalent atoms:
1 Sr 0.000 0.000 0.500
2 Bi 0.500 0.500 0.500
3 C 0.000 0.000 0.000

Calculated values
Distance to the lowest polymorph of the same formula = 0.000 eV/atom
Electronic total energy = -3.829 eV/atom


Entry from Alexandria: an optimized crystal structure of SrZr2BiC (PBE).

Cell: 5.271 5.271 5.776 Å, 90.00 90.00 90.00°
Space group P4/mmm (No. 123)
One atom of each set of equivalent atoms:
1 Sr 0.000 0.000 0.000
2 Zr 0.000 0.500 0.000
3 Bi 0.000 0.000 0.500
4 C 0.500 0.500 0.500

Calculated values
Electronic total energy = -3.503 eV/atom


Entry from Alexandria: an optimized crystal structure of TaBi2C (PBE).

Cell: 6.524 6.524 9.102 Å, 90.00 90.00 90.00°
Space group I-42d (No. 122)
One atom of each set of equivalent atoms:
1 Ta 0.000 0.000 0.000
2 Bi 0.182 0.250 0.625
3 C 0.000 0.000 0.500

Calculated values
Electronic total energy = -5.605 eV/atom


Entry from Alexandria: an optimized crystal structure of TaBiC (PBE).

Cell: 6.606 3.462 10.373 Å, 90.00 97.11 90.00°
Space group C2/m (No. 12)
One atom of each set of equivalent atoms:
1 Ta 0.138 0.000 0.393
2 Bi 0.084 0.500 0.856
3 C 0.181 0.000 0.603

Calculated values
Electronic total energy = -8.200 eV/atom


What did the first record say?
Entry from Alexandria: an optimized crystal structure of SrBi2C2 (PBE).

Cell: 6.362 6.362 5.882 Å, 90.00 90.00 90.00°
Space group P4/mbm (No. 127)
One atom of each set of equivalent atoms:
1 Sr 0.000 0.000 0.000
2 Bi 0.183 0.317 0.500
3 C 0.072 0.428 0.000

Calculated values
Distance to the lowest polymorph of the same formula = 0.000 eV/atom
Electronic total energy = -5.202 eV/atom


Among the records above, which one has the lowest electronic total energy?
TaBiC